## PuCrFeO6 (PBE with a Hubbard U)

Data for a relaxed PuCrFeO6 crystal.

a = 5.2170 Å, b = 5.2170 Å, c = 8.9006 Å
α = 90.00°, β = 90.00°, γ = 120.00°
Closest atoms and distances in Å follow each position.
Fractional coordinates of all 18 atoms:
Pu 0.3333 0.6667 0.2500  6 O 2.08
Pu 0.6667 0.3333 0.7500  6 O 2.08
Cr 0.3333 0.6667 0.7500  6 O 2.02
Cr 0.6667 0.3333 0.2500  6 O 2.02
Fe 0.0000 0.0000 0.0000  6 O 2.08
Fe 0.0000 0.0000 0.5000  6 O 2.08
O 0.0093 0.3366 0.6285  1 Cr 2.02, 1 Fe 2.08, 1 Pu 2.08
O 0.0093 0.6727 0.8715  1 Cr 2.02, 1 Fe 2.08, 1 Pu 2.08
O 0.3273 0.3366 0.8715  1 Cr 2.02, 1 Fe 2.08, 1 Pu 2.08
O 0.3273 0.9907 0.6285  1 Cr 2.02, 1 Fe 2.08, 1 Pu 2.08
O 0.3366 0.0093 0.1285  1 Cr 2.02, 1 Fe 2.08, 1 Pu 2.08
O 0.3366 0.3273 0.3715  1 Cr 2.02, 1 Fe 2.08, 1 Pu 2.08
O 0.6634 0.6727 0.6285  1 Cr 2.02, 1 Fe 2.08, 1 Pu 2.08
O 0.6634 0.9907 0.8715  1 Cr 2.02, 1 Fe 2.08, 1 Pu 2.08
O 0.6727 0.0093 0.3715  1 Cr 2.02, 1 Fe 2.08, 1 Pu 2.08
O 0.6727 0.6634 0.1285  1 Cr 2.02, 1 Fe 2.08, 1 Pu 2.08
O 0.9907 0.3273 0.1285  1 Cr 2.02, 1 Fe 2.08, 1 Pu 2.08
O 0.9907 0.6634 0.3715  1 Cr 2.02, 1 Fe 2.08, 1 Pu 2.08

Summary:
V   11.655 Å³ per atom
Size of the total moment   20.0 μB per cell
Crystal system   trigonal
Calculated total energy   -74.9 eV/f.u.